No. 1
Here is a geometry-optimized NpNbTe2 structure from Alexandria via LeMat-Bulk. Energies are from PBE-GGA.

raw formation energy: -0.237 eV per atom
relative energy among the computed polymorphs: 0 meV per atom
symmetry: No. 123

Lattice parameters (Å, degrees): 3.503 3.503 7.547 90.00 90.00 90.00
Element x y z (fractional)
Np 0.000 0.000 0.000
Nb 0.000 0.000 0.500
Te 0.500 0.500 0.279
Te 0.500 0.500 0.721

No. 2
Here is a geometry-optimized NpNb4Te8 structure from Alexandria via LeMat-Bulk. Energies are from PBE-GGA.

raw formation energy: -0.366 eV per atom
symmetry: No. 12

Lattice parameters (Å, degrees): 7.621 7.621 8.629 115.91 115.91 60.21
Element x y z (fractional)
Np 0.000 0.000 0.000
Nb 0.000 0.000 0.500
Nb 0.000 0.500 0.500
Nb 0.500 0.000 0.500
Nb 0.500 0.500 0.500
Te 0.246 0.246 0.740
Te 0.259 0.740 0.740
Te 0.260 0.260 0.260
Te 0.260 0.741 0.260
Te 0.740 0.259 0.740
Te 0.740 0.740 0.740
Te 0.741 0.260 0.260
Te 0.754 0.754 0.260

No. 3
Here is a geometry-optimized NpNbTe2 structure from Alexandria via LeMat-Bulk. Energies are from PBE-GGA.

raw formation energy: 0.029 eV per atom
relative energy among the computed polymorphs: 266 meV per atom
symmetry: No. 166

Lattice parameters (Å, degrees): 10.397 10.397 10.397 19.40 19.40 19.40
Element x y z (fractional)
Np 0.000 0.000 0.000
Nb 0.500 0.500 0.500
Te 0.103 0.103 0.103
Te 0.897 0.897 0.897

No. 4
Here is a geometry-optimized ThNpNb structure from Alexandria via LeMat-Bulk. Energies are from PBE-GGA.

symmetry: No. 12
E_form: 1.111 eV per atom

Lattice parameters (Å, degrees): 6.636 6.636 7.129 96.54 96.54 138.91
Element x y z (fractional)
Th 0.147 0.853 0.000
Th 0.853 0.147 0.000
Np 0.411 0.411 0.822
Np 0.589 0.589 0.178
Nb 0.186 0.186 0.369
Nb 0.814 0.814 0.631

No. 5
Here is a geometry-optimized NpNbV4 structure from Alexandria via LeMat-Bulk. Energies are from PBE-GGA.

symmetry: No. 216
E_form: 0.252 eV per atom

Lattice parameters (Å, degrees): 5.128 5.128 5.128 60.00 60.00 60.00
Element x y z (fractional)
Np 0.000 0.000 0.000
Nb 0.750 0.750 0.750
V 0.375 0.375 0.375
V 0.375 0.375 0.876
V 0.375 0.876 0.375
V 0.876 0.375 0.375

No. 6
Here is a geometry-optimized ZrNpNb structure from Alexandria via LeMat-Bulk. Energies are from PBE-GGA.

relative energy among the computed polymorphs: 0 meV per atom
symmetry: No. 107
E_form: 0.336 eV per atom

Lattice parameters (Å, degrees): 5.744 5.744 5.744 145.04 145.04 50.28
Element x y z (fractional)
Zr 0.000 0.000 0.000
Np 0.678 0.678 0.000
Nb 0.319 0.319 0.000

No. 7
Here is a geometry-optimized ZrNpNb structure from Alexandria via LeMat-Bulk. Energies are from PBE-GGA.

relative energy among the computed polymorphs: 291 meV per atom
symmetry: No. 51
E_form: 0.627 eV per atom

Lattice parameters (Å, degrees): 4.706 4.841 5.875 90.00 90.00 90.00
Element x y z (fractional)
Zr 0.250 0.000 0.236
Zr 0.750 0.000 0.764
Np 0.000 0.500 0.500
Np 0.500 0.500 0.500
Nb 0.250 0.500 0.932
Nb 0.750 0.500 0.068

No. 8
Here is a geometry-optimized NbO structure from Alexandria via LeMat-Bulk. Energies are from PBE-GGA.

raw formation energy: -1.125 eV per atom
symmetry: No. 123

Lattice parameters (Å, degrees): 2.918 2.918 3.888 90.00 90.00 90.00
Element x y z (fractional)
Nb 0.000 0.000 0.000
O 0.000 0.000 0.500

No. 9
Here is a geometry-optimized NbO2 structure from Alexandria via LeMat-Bulk. Energies are from PBE-GGA.

raw formation energy: -2.439 eV per atom
symmetry: No. 88

Lattice parameters (Å, degrees): 10.287 10.287 10.287 95.02 95.02 145.59
Element x y z (fractional)
Nb 0.088 0.350 0.989
Nb 0.139 0.902 0.489
Nb 0.150 0.639 0.737
Nb 0.155 0.164 0.259
Nb 0.336 0.095 0.991
Nb 0.396 0.655 0.491
Nb 0.402 0.412 0.763
Nb 0.405 0.896 0.241
Nb 0.595 0.104 0.759
Nb 0.598 0.588 0.237
Nb 0.604 0.345 0.509
Nb 0.664 0.905 0.009
Nb 0.845 0.836 0.741
Nb 0.850 0.361 0.263
Nb 0.861 0.098 0.511
Nb 0.912 0.650 0.011
O 0.022 0.619 0.150
O 0.031 0.129 0.650
O 0.113 0.974 0.113
O 0.117 0.756 0.888
O 0.119 0.469 0.597
O 0.123 0.272 0.399
O 0.225 0.623 0.352
O 0.228 0.127 0.852
O 0.256 0.868 0.639
O 0.271 0.383 0.139
O 0.361 0.000 0.387
O 0.368 0.229 0.612
O 0.371 0.522 0.903
O 0.373 0.725 0.101
O 0.474 0.861 0.861
O 0.500 0.387 0.361
O 0.500 0.613 0.639
O 0.526 0.139 0.139
O 0.627 0.275 0.899
O 0.629 0.478 0.097
O 0.632 0.771 0.388
O 0.639 0.000 0.613
O 0.729 0.617 0.861
O 0.744 0.132 0.361
O 0.772 0.873 0.148
O 0.775 0.377 0.648
O 0.877 0.728 0.601
O 0.881 0.531 0.403
O 0.883 0.244 0.112
O 0.887 0.026 0.887
O 0.969 0.871 0.350
O 0.978 0.381 0.850

No. 10
Here is a geometry-optimized NbO structure from Alexandria via LeMat-Bulk. Energies are from PBE-GGA.

raw formation energy: -1.643 eV per atom
symmetry: No. 176

Lattice parameters (Å, degrees): 7.765 7.765 3.464 90.00 90.00 120.00
Element x y z (fractional)
Nb 0.119 0.654 0.250
Nb 0.346 0.465 0.250
Nb 0.465 0.119 0.750
Nb 0.535 0.881 0.250
Nb 0.654 0.535 0.750
Nb 0.881 0.346 0.750
O 0.024 0.329 0.250
O 0.305 0.976 0.250
O 0.329 0.305 0.750
O 0.671 0.695 0.250
O 0.695 0.024 0.750
O 0.976 0.671 0.750

No. 11
Here is a geometry-optimized NbO structure from Alexandria via LeMat-Bulk. Energies are from PBE-GGA.

raw formation energy: -1.630 eV per atom
symmetry: No. 59

Lattice parameters (Å, degrees): 3.092 9.947 5.432 90.00 90.00 90.00
Element x y z (fractional)
Nb 0.250 0.111 0.003
Nb 0.250 0.389 0.003
Nb 0.250 0.750 0.397
Nb 0.750 0.250 0.603
Nb 0.750 0.611 0.997
Nb 0.750 0.889 0.997
O 0.250 0.250 0.318
O 0.250 0.560 0.270
O 0.250 0.940 0.270
O 0.750 0.060 0.730
O 0.750 0.440 0.730
O 0.750 0.750 0.682

No. 12
Here is a geometry-optimized NbO structure from Alexandria via LeMat-Bulk. Energies are from PBE-GGA.

raw formation energy: -1.193 eV per atom
symmetry: No. 216

Lattice parameters (Å, degrees): 3.422 3.422 3.422 60.00 60.00 60.00
Element x y z (fractional)
Nb 0.000 0.000 0.000
O 0.250 0.250 0.250

Number 1: M_tot 1.31 μB/atom, DFT total energy -7.5607 eV per atom. Number 2: M_tot 0.32 μB/atom, DFT total energy -6.3935 eV per atom. Number 3: M_tot 1.26 μB/atom, DFT total energy -7.2949 eV per atom. Number 4: M_tot 0.54 μB/atom, DFT total energy -9.0325 eV per atom. Number 5: M_tot 0.52 μB/atom, DFT total energy -9.6618 eV per atom. Number 6: M_tot 0.91 μB/atom, DFT total energy -10.1831 eV per atom. Number 7: M_tot 0.00 μB/atom, DFT total energy -9.8926 eV per atom. Number 8: M_tot 0.00 μB/atom, DFT total energy -8.6393 eV per atom. Number 9: M_tot 0.00 μB/atom, DFT total energy -9.1006 eV per atom. Number 10: M_tot 0.00 μB/atom, DFT total energy -9.1566 eV per atom. Number 11: M_tot 0.00 μB/atom, DFT total energy -9.1439 eV per atom. Number 12: M_tot 0.00 μB/atom, DFT total energy -8.7070 eV per atom.